First-principles (GGA+U) data for a relaxed Ba3NiBr2F6 crystal, as listed in Alexandria.

```
data_Ba3NiBr2F6
_chemical_formula_sum 'Ba6 Ni2 Br4 F12'
_symmetry_space_group_name_H-M 'C 1 2/m 1'
_symmetry_Int_Tables_number 12
_cell_length_a 13.504
_cell_length_b 7.504
_cell_length_c 5.822
_cell_angle_alpha 90.00
_cell_angle_beta 95.98
_cell_angle_gamma 90.00
loop_
_symmetry_equiv_pos_as_xyz
'x,y,z'
'-x,-y,-z'
'-x,y,-z'
'x,-y,z'
'x+1/2,y+1/2,z'
'-x+1/2,-y+1/2,-z'
'-x+1/2,y+1/2,-z'
'x+1/2,-y+1/2,z'
loop_
_atom_site_label
_atom_site_type_symbol
_atom_site_fract_x
_atom_site_fract_y
_atom_site_fract_z
Ba1 Ba 0.000 0.000 0.000
Ba2 Ba 0.250 0.250 0.500
Ni1 Ni 0.000 0.500 0.500
Br1 Br 0.226 0.000 0.932
F1 F 0.060 0.262 0.312
F2 F 0.138 0.500 0.636
```

Summary:
For the density of states at the Fermi level, the calculation gives 0.0 states/eV per cell. For the total energy, the calculation gives -4.69 eV per atom.